# 1
First-principles (PBE-GGA) data for LiIrOs2 after structural relaxation, as listed in Alexandria.

Lattice parameters (Å, degrees): 4.9690 4.9690 4.9690 146.61 127.45 63.71
Fractional positions:
Ir1 0.5198 0.5198 0.0000
Li1 0.7488 0.2488 0.5000
Os1 0.9841 0.9841 0.0000
Os2 0.2472 0.7472 0.5000

The calculated density is 18.2 g/cm³. Its formation energy is 0.24 eV per atom. The space-group type is Imm2 (44). For the density of states at the Fermi level, the calculation gives 3.126 states/eV per cell.

# 2
First-principles (PBE-GGA) data for LiIr2Os after structural relaxation, as listed in Alexandria.

Lattice parameters (Å, degrees): 2.7560 2.7560 7.1740 90.00 90.00 90.00
Fractional positions:
Ir1 0.0000 0.0000 0.9969
Ir2 0.5000 0.5000 0.2642
Li1 0.0000 0.0000 0.4958
Os1 0.5000 0.5000 0.7431

The calculated density is 17.7 g/cm³. Its formation energy is 0.20 eV per atom. The space-group type is P4mm (99). For the density of states at the Fermi level, the calculation gives 4.555 states/eV per cell.

# 3
First-principles (PBE-GGA) data for LiIr2Os after structural relaxation, as listed in Alexandria.

Lattice parameters (Å, degrees): 4.5006 4.5006 2.7709 90.00 90.00 90.00
Fractional positions:
Ir1 0.0000 0.0000 0.0000
Ir2 0.5000 0.5000 0.0000
Li1 0.5000 0.0000 0.5000
Os1 0.0000 0.5000 0.5000

The calculated density is 17.2 g/cm³. Its formation energy is 0.16 eV per atom. The space-group type is P4/mmm (123). For the density of states at the Fermi level, the calculation gives 5.115 states/eV per cell.

# 4
First-principles (PBE-GGA) data for Li2IrOs after structural relaxation, as listed in Alexandria.

Lattice parameters (Å, degrees): 4.8916 4.8916 4.8916 146.52 127.87 63.39
Fractional positions:
Ir1 0.2464 0.7464 0.5000
Li1 0.9893 0.9893 0.0000
Li2 0.7627 0.2627 0.5000
Os1 0.5016 0.5016 0.0000

The calculated density is 13.1 g/cm³. Its formation energy is 0.17 eV per atom. The space-group type is Imm2 (44). For the density of states at the Fermi level, the calculation gives 2.950 states/eV per cell.

# 5
First-principles (PBE-GGA) data for LiIr2Os after structural relaxation, as listed in Alexandria.

Lattice parameters (Å, degrees): 2.7651 4.5462 4.4615 90.00 90.00 90.00
Fractional positions:
Ir1 0.0000 0.0000 0.0000
Ir2 0.5000 0.5000 0.0000
Li1 0.5000 0.0000 0.5000
Os1 0.0000 0.5000 0.5000

The calculated density is 17.2 g/cm³. Its formation energy is 0.28 eV per atom. The space-group type is Pmmm (47). For the density of states at the Fermi level, the calculation gives 4.452 states/eV per cell.

# 6
First-principles (PBE-GGA) data for LiIr2Os after structural relaxation, as listed in Alexandria.

Lattice parameters (Å, degrees): 2.7233 3.9075 5.1987 90.00 90.00 90.00
Fractional positions:
Ir1 0.0000 0.0000 0.9839
Ir2 0.5000 0.5000 0.2727
Li1 0.0000 0.0000 0.4882
Os1 0.5000 0.5000 0.7551

The calculated density is 17.5 g/cm³. Its formation energy is 0.08 eV per atom. The space-group type is Pmm2 (25). For the density of states at the Fermi level, the calculation gives 3.396 states/eV per cell.

# 7
First-principles (PBE-GGA) data for LiIr2Os after structural relaxation, as listed in Alexandria.

Lattice parameters (Å, degrees): 6.0949 4.6769 2.6819 90.01 63.89 121.70
Fractional positions:
Ir1 0.0000 0.0000 0.0000
Ir2 0.5000 0.0000 0.5000
Li1 0.0000 0.5000 0.5000
Os1 0.5000 0.5000 0.0000

The calculated density is 17.3 g/cm³. Its formation energy is 0.01 eV per atom. The space-group type is Cmmm (65). For the density of states at the Fermi level, the calculation gives 4.233 states/eV per cell.

# 8
First-principles (PBE-GGA) data for LiIrOs2 after structural relaxation, as listed in Alexandria.

Lattice parameters (Å, degrees): 4.6299 4.6299 4.7244 81.82 81.82 33.81
Fractional positions:
Ir1 0.5096 0.5096 0.5324
Li1 0.7546 0.7546 0.7273
Os1 0.9923 0.9923 0.0183
Os2 0.2435 0.2435 0.2220

The calculated density is 17.3 g/cm³. Its formation energy is 0.12 eV per atom. The space-group type is Cm (8). For the density of states at the Fermi level, the calculation gives 2.826 states/eV per cell.

# 9
First-principles (PBE-GGA) data for LiIr2Os after structural relaxation, as listed in Alexandria.

Lattice parameters (Å, degrees): 2.7253 3.7559 5.3617 90.00 90.00 90.00
Fractional positions:
Ir1 0.0000 0.0000 0.0061
Ir2 0.0000 0.0000 0.4939
Li1 0.5000 0.5000 0.2500
Os1 0.5000 0.5000 0.7500

The calculated density is 17.6 g/cm³. Its formation energy is 0.00 eV per atom. The space-group type is Pmmm (47). For the density of states at the Fermi level, the calculation gives 2.783 states/eV per cell.

# 10
First-principles (PBE-GGA) data for LiIr2Os after structural relaxation, as listed in Alexandria.

Lattice parameters (Å, degrees): 9.0044 9.0044 9.0044 17.49 17.49 17.49
Fractional positions:
Ir1 0.0017 0.0017 0.0017
Ir2 0.4983 0.4983 0.4983
Li1 0.2500 0.2500 0.2500
Os1 0.7500 0.7500 0.7500

The calculated density is 16.8 g/cm³. Its formation energy is 0.07 eV per atom. The space-group type is R-3m (166). For the density of states at the Fermi level, the calculation gives 7.774 states/eV per cell.

# 11
First-principles (PBE-GGA) data for Li2IrOs after structural relaxation, as listed in Alexandria.

Lattice parameters (Å, degrees): 4.6140 4.6140 4.8323 83.34 83.34 33.76
Fractional positions:
Ir1 0.2490 0.2490 0.2990
Li1 0.9918 0.9918 0.9660
Li2 0.7538 0.7538 0.7851
Os1 0.5054 0.5054 0.4500

The calculated density is 11.6 g/cm³. Its formation energy is 0.00 eV per atom. The space-group type is Cm (8). For the density of states at the Fermi level, the calculation gives 1.927 states/eV per cell.

# 12
First-principles (PBE-GGA) data for LiIrOs2 after structural relaxation, as listed in Alexandria.

Lattice parameters (Å, degrees): 9.2257 9.2257 9.2257 16.86 16.86 16.86
Fractional positions:
Ir1 0.2500 0.2500 0.2500
Li1 0.7500 0.7500 0.7500
Os1 0.9977 0.9977 0.9977
Os2 0.5023 0.5023 0.5023

The calculated density is 16.7 g/cm³. Its formation energy is 0.20 eV per atom. The space-group type is R-3m (166). For the density of states at the Fermi level, the calculation gives 2.988 states/eV per cell.

# 13
First-principles (PBE-GGA) data for LiIrOs2 after structural relaxation, as listed in Alexandria.

Lattice parameters (Å, degrees): 4.5210 4.5210 2.7321 90.00 90.00 90.00
Fractional positions:
Ir1 0.5000 0.0000 0.5000
Li1 0.0000 0.5000 0.5000
Os1 0.0000 0.0000 0.0000
Os2 0.5000 0.5000 0.0000

The calculated density is 17.2 g/cm³. Its formation energy is 0.45 eV per atom. The space-group type is P4/mmm (123). For the density of states at the Fermi level, the calculation gives 4.308 states/eV per cell.

# 14
First-principles (PBE-GGA) data for Li2IrOs after structural relaxation, as listed in Alexandria.

Lattice parameters (Å, degrees): 4.4737 4.4737 2.5334 90.00 90.00 90.00
Fractional positions:
Ir1 0.0000 0.5000 0.5000
Li1 0.0000 0.0000 0.0000
Li2 0.5000 0.5000 0.0000
Os1 0.5000 0.0000 0.5000

The calculated density is 13.0 g/cm³. Its formation energy is 0.44 eV per atom. The space-group type is P4/mmm (123). For the density of states at the Fermi level, the calculation gives 3.461 states/eV per cell.

# 15
First-principles (PBE-GGA) data for LiIr2Os after structural relaxation, as listed in Alexandria.

Lattice parameters (Å, degrees): 4.6945 4.6945 4.6487 81.41 81.41 33.52
Fractional positions:
Ir1 0.0041 0.0041 0.0319
Ir2 0.7407 0.7407 0.7151
Li1 0.4952 0.4952 0.5270
Os1 0.2600 0.2600 0.2260

The calculated density is 17.3 g/cm³. Its formation energy is -0.02 eV per atom. The space-group type is Cm (8). For the density of states at the Fermi level, the calculation gives 2.908 states/eV per cell.

# 16
First-principles (PBE-GGA) data for LiPaIrOs after structural relaxation, as listed in Alexandria.

Lattice parameters (Å, degrees): 4.6110 4.6110 4.6110 60.00 60.00 60.00
Fractional positions:
Pa1 0.5000 0.5000 0.5000
Os1 0.7500 0.7500 0.7500
Li1 0.0000 0.0000 0.0000
Ir1 0.2500 0.2500 0.2500

The calculated density is 14.9 g/cm³. Its formation energy is -0.27 eV per atom. The space-group type is F-43m (216). For the density of states at the Fermi level, the calculation gives 2.514 states/eV per cell.

# 17
First-principles (PBE-GGA) data for Li2IrOsPb after structural relaxation, as listed in Alexandria.

Lattice parameters (Å, degrees): 4.4963 5.1493 4.4963 90.00 90.00 90.00
Fractional positions:
Pb1 0.0000 0.5000 0.0000
Ir1 0.5000 0.5000 0.5000
Os1 0.0000 0.0000 0.0000
Li1 0.0000 0.0000 0.5000
Li2 0.5000 0.0000 0.0000

The calculated density is 9.6 g/cm³. Its formation energy is 1.41 eV per atom. The space-group type is P4/mmm (123). For the density of states at the Fermi level, the calculation gives 3.930 states/eV per cell.

# 18
First-principles (PBE-GGA) data for RbLiIr2Os after structural relaxation, as listed in Alexandria.

Lattice parameters (Å, degrees): 4.4404 4.3506 4.4404 90.00 90.00 90.00
Fractional positions:
Ir1 0.0000 0.0000 0.5000
Ir2 0.5000 0.0000 0.0000
Os1 0.5000 0.5000 0.5000
Rb1 0.0000 0.5000 0.0000
Li1 0.0000 0.0000 0.0000

The calculated density is 12.9 g/cm³. Its formation energy is 1.83 eV per atom. The space-group type is P4/mmm (123). For the density of states at the Fermi level, the calculation gives 5.666 states/eV per cell.

# 19
First-principles (PBE-GGA) data for LiIr2OsRu after structural relaxation, as listed in Alexandria.

Lattice parameters (Å, degrees): 4.6350 4.0948 4.6350 90.00 90.00 90.00
Fractional positions:
Ru1 0.0000 0.0000 0.0000
Ir1 0.0000 0.0000 0.5000
Ir2 0.5000 0.0000 0.0000
Os1 0.5000 0.5000 0.5000
Li1 0.0000 0.5000 0.0000

The calculated density is 12.9 g/cm³. Its formation energy is 1.80 eV per atom. The space-group type is P4/mmm (123). For the density of states at the Fermi level, the calculation gives 6.283 states/eV per cell.

# 20
First-principles (PBE-GGA) data for LiIrOs2Ru after structural relaxation, as listed in Alexandria.

Lattice parameters (Å, degrees): 4.6873 4.2069 4.6873 90.00 90.00 90.00
Fractional positions:
Ru1 0.5000 0.5000 0.5000
Ir1 0.0000 0.0000 0.0000
Os1 0.0000 0.0000 0.5000
Os2 0.5000 0.0000 0.0000
Li1 0.0000 0.5000 0.0000

The calculated density is 12.2 g/cm³. Its formation energy is 1.84 eV per atom. The space-group type is P4/mmm (123). For the density of states at the Fermi level, the calculation gives 6.868 states/eV per cell.